This record from the Alexandria database describes a relaxed structure of TmB2Ir2. The functional is PBE.

abc: 3.9911 3.9911 11.9180
angles: 90.00 90.00 90.00
Space group I4/mmm (No. 139)
Asymmetric unit:
Tm: 0.0000 0.0000 0.0000
B: 0.0000 0.0000 0.1975
Ir: 0.0000 0.5000 0.2500

## Properties
ΔH_f (0 K): 0.01 eV per atom
energy: -71.04 eV/cell